[1]
Material: Tb2Dy3Sc3
Method: DFT, GGA-PBE
State: relaxed

Cell: 4.8123 4.9125 10.3387 Å, 103.74 103.46 90.00°
Closest atoms and distances in Å follow each position.
Positions (direct):
Dy  0.6215  0.6215  0.2430  6 Sc 3.38-3.44, 2 Dy 3.41, 4 Tb 3.49
Sc  0.1232  0.1232  0.2464  6 Dy 3.40-3.44, 4 Tb 3.43-3.50, 2 Sc 3.44
Sc  0.8768  0.8768  0.7536  6 Dy 3.40-3.44, 4 Tb 3.43-3.50, 2 Sc 3.44
Tb  0.7488  0.2488  0.4976  4 Sc 3.43-3.50, 4 Tb 3.44, 4 Dy 3.49
Sc  0.0000  0.5000  0.0000  8 Dy 3.38-3.44, 4 Sc 3.44
Tb  0.2512  0.7512  0.5024  4 Sc 3.43-3.50, 4 Tb 3.44, 4 Dy 3.49
Dy  0.3785  0.3785  0.7570  6 Sc 3.38-3.44, 2 Dy 3.41, 4 Tb 3.49
Dy  0.5000  0.0000  0.0000  8 Sc 3.40-3.44, 4 Dy 3.41

Calculated values
ΔE_f: 4.6 kJ/mol of atoms
calculated volume: 230.50 Å³/cell
space group: Immm (71)
size of the total moment: 0.00 μB/f.u.
E above lowest polymorph: 20 meV/atom

=====

[2]
Material: Sr3La5H12
Method: DFT, GGA-PBE
State: relaxed

Cell: 12.4230 12.4230 12.4230 Å, 109.47 109.47 109.47°
Closest atoms and distances in Å follow each position.
Positions (direct):
H  0.4452  0.6621  0.0967  2 La 2.34-2.41, 1 Sr 2.45
Sr  0.2500  0.6250  0.8750  4 H 2.45
H  0.8379  0.9347  0.2831  2 La 2.34-2.41, 1 Sr 2.45
Sr  0.6250  0.2500  0.3750  4 H 2.45
La  0.2500  0.8750  0.1250  4 H 2.34
La  0.0000  0.5000  0.5000  6 H 2.41
H  0.5653  0.8485  0.4033  2 La 2.34-2.41, 1 Sr 2.45
H  0.3379  0.7831  0.4347  2 La 2.34-2.41, 1 Sr 2.45
H  0.4347  0.2831  0.3379  2 La 2.34-2.41, 1 Sr 2.45
H  0.0967  0.9347  0.1515  2 La 2.34-2.41, 1 Sr 2.45
H  0.0548  0.4033  0.8379  2 La 2.34-2.41, 1 Sr 2.45
H  0.6515  0.5967  0.9347  2 La 2.34-2.41, 1 Sr 2.45
H  0.2169  0.5548  0.6515  2 La 2.34-2.41, 1 Sr 2.45
H  0.1515  0.4347  0.0967  2 La 2.34-2.41, 1 Sr 2.45
H  0.5653  0.7169  0.6621  2 La 2.34-2.41, 1 Sr 2.45
Sr  0.3750  0.6250  0.2500  4 H 2.45
H  0.4033  0.0548  0.3379  2 La 2.34-2.41, 1 Sr 2.45
H  0.9452  0.5967  0.1621  2 La 2.34-2.41, 1 Sr 2.45
H  0.5548  0.3379  0.9033  2 La 2.34-2.41, 1 Sr 2.45
H  0.7831  0.4452  0.3485  2 La 2.34-2.41, 1 Sr 2.45
H  0.5967  0.6515  0.4347  2 La 2.34-2.41, 1 Sr 2.45
H  0.9033  0.0653  0.8485  2 La 2.34-2.41, 1 Sr 2.45
H  0.1621  0.0967  0.9452  2 La 2.34-2.41, 1 Sr 2.45
H  0.3485  0.9452  0.7831  2 La 2.34-2.41, 1 Sr 2.45
H  0.6621  0.4452  0.5967  2 La 2.34-2.41, 1 Sr 2.45
H  0.8485  0.5653  0.9033  2 La 2.34-2.41, 1 Sr 2.45
H  0.5967  0.9452  0.6621  2 La 2.34-2.41, 1 Sr 2.45
La  0.0000  0.5000  0.0000  6 H 2.41
La  0.5000  0.0000  0.0000  6 H 2.41
H  0.7831  0.3379  0.9347  2 La 2.34-2.41, 1 Sr 2.45
H  0.6621  0.2169  0.5653  2 La 2.34-2.41, 1 Sr 2.45
H  0.0967  0.1621  0.4452  2 La 2.34-2.41, 1 Sr 2.45
Sr  0.1250  0.2500  0.8750  4 H 2.45
H  0.2169  0.6621  0.0653  2 La 2.34-2.41, 1 Sr 2.45
H  0.6515  0.0548  0.2169  2 La 2.34-2.41, 1 Sr 2.45
Sr  0.2500  0.1250  0.3750  4 H 2.45
H  0.2831  0.4347  0.8379  2 La 2.34-2.41, 1 Sr 2.45
H  0.4033  0.3485  0.5653  2 La 2.34-2.41, 1 Sr 2.45
La  0.3750  0.2500  0.1250  4 H 2.34
La  0.2500  0.3750  0.6250  4 H 2.34
H  0.3379  0.5548  0.4033  2 La 2.34-2.41, 1 Sr 2.45
La  0.7500  0.6250  0.3750  4 H 2.34
La  0.8750  0.6250  0.7500  4 H 2.34
La  0.8750  0.2500  0.6250  4 H 2.34
La  0.1250  0.3750  0.2500  4 H 2.34
H  0.1515  0.7169  0.5548  2 La 2.34-2.41, 1 Sr 2.45
H  0.9033  0.8379  0.5548  2 La 2.34-2.41, 1 Sr 2.45
La  0.1250  0.7500  0.3750  4 H 2.34
H  0.9347  0.8379  0.7831  2 La 2.34-2.41, 1 Sr 2.45
Sr  0.3750  0.7500  0.6250  4 H 2.45
Sr  0.7500  0.8750  0.6250  4 H 2.45
H  0.5548  0.2169  0.1515  2 La 2.34-2.41, 1 Sr 2.45
La  0.5000  0.0000  0.5000  6 H 2.41
H  0.4452  0.7831  0.8485  2 La 2.34-2.41, 1 Sr 2.45
H  0.1621  0.0653  0.7169  2 La 2.34-2.41, 1 Sr 2.45
La  0.6250  0.8750  0.2500  4 H 2.34
H  0.9452  0.3485  0.2831  2 La 2.34-2.41, 1 Sr 2.45
H  0.7169  0.5653  0.1621  2 La 2.34-2.41, 1 Sr 2.45
H  0.3485  0.4033  0.0653  2 La 2.34-2.41, 1 Sr 2.45
H  0.0548  0.6515  0.7169  2 La 2.34-2.41, 1 Sr 2.45
H  0.0653  0.9033  0.3485  2 La 2.34-2.41, 1 Sr 2.45
Sr  0.6250  0.3750  0.7500  4 H 2.45
H  0.4347  0.1515  0.5967  2 La 2.34-2.41, 1 Sr 2.45
H  0.8379  0.9033  0.0548  2 La 2.34-2.41, 1 Sr 2.45
H  0.8485  0.2831  0.4452  2 La 2.34-2.41, 1 Sr 2.45
Sr  0.1250  0.8750  0.7500  4 H 2.45
La  0.5000  0.5000  0.0000  6 H 2.41
H  0.0653  0.1621  0.2169  2 La 2.34-2.41, 1 Sr 2.45
H  0.2831  0.8485  0.9452  2 La 2.34-2.41, 1 Sr 2.45
H  0.7169  0.1515  0.0548  2 La 2.34-2.41, 1 Sr 2.45
Sr  0.7500  0.3750  0.1250  4 H 2.45
La  0.3750  0.1250  0.7500  4 H 2.34
La  0.6250  0.7500  0.8750  4 H 2.34
La  0.0000  0.0000  0.5000  6 H 2.41
Sr  0.8750  0.1250  0.2500  4 H 2.45
Sr  0.8750  0.7500  0.1250  4 H 2.45
La  0.0000  0.0000  0.0000  6 H 2.41
La  0.7500  0.1250  0.8750  4 H 2.34
La  0.5000  0.5000  0.5000  6 H 2.41
H  0.9347  0.0967  0.6515  2 La 2.34-2.41, 1 Sr 2.45

Calculated values
E_tot: -0.28464 Ry/atom
calculated volume: 1475.89 Å³/cell
space group: Ia-3d (230)
size of the total moment: 2.22 μB/f.u.

=====

[3]
Material: ScAg5
Method: DFT, GGA-PBE
State: relaxed

Cell: 5.4705 5.4705 5.4705 Å, 60.00 60.00 60.00°
Closest atoms and distances in Å follow each position.
Positions (direct):
Ag  0.8747  0.3751  0.3751  6 Ag 2.73-2.74
Ag  0.3751  0.3751  0.3751  6 Ag 2.73-2.74
Ag  0.7500  0.7500  0.7500  12 Ag 3.21, 4 Sc 3.35
Ag  0.3751  0.3751  0.8747  6 Ag 2.73-2.74
Sc  0.0000  0.0000  0.0000  16 Ag 3.21-3.35
Ag  0.3751  0.8747  0.3751  6 Ag 2.73-2.74

Calculated values
ΔE_f: -2.4 kJ/mol of atoms
calculated volume: 115.76 Å³/cell
space group: F-43m (216)
size of the total moment: 0.00 μB/f.u.

=====

[4]
Material: Ga3N2O2
Method: DFT, GGA-PBE
State: relaxed

Cell: 2.9242 5.3070 5.3807 Å, 107.96 105.77 90.00°
Closest atoms and distances in Å follow each position.
Positions (direct):
O  0.6257  0.8660  0.2514  4 Ga 2.04-2.22
N  0.1490  0.3231  0.2980  4 Ga 1.90-2.07
N  0.8510  0.6769  0.7020  4 Ga 1.90-2.07
Ga  0.0000  0.0000  0.0000  2 N 1.90
O  0.3743  0.1340  0.7486  4 Ga 2.04-2.22
Ga  0.2176  0.7171  0.4353  3 N 1.98-2.07, 2 O 2.04
Ga  0.7824  0.2829  0.5647  3 N 1.98-2.07, 2 O 2.04

Calculated values
calculated volume: 76.12 Å³/cell
space group: C2/m (12)
size of the total moment: 0.00 μB/f.u.
raw formation energy: -55.8 kJ per mole of atoms